{"formula": "YReN2F", "functional": "PBE", "state": "optimized geometry", "lattice_angstrom": [[4.5142, 0.0000, 0.0000], [0.0000, 4.5142, 0.0000], [0.0000, 0.0000, 4.1329]], "species": ["Y", "Re", "N", "N", "F"], "frac_coords": [[0.0000, 0.0000, 0.0000], [0.5000, 0.5000, 0.5000], [0.0000, 0.5000, 0.0000], [0.5000, 0.0000, 0.0000], [0.0000, 0.0000, 0.5000]], "de_polymorph_mev_per_atom": 1447, "dos_at_fermi_per_ev_fu": 2.77, "formation_energy_uncorrected_ev_per_fu": 3.42, "spacegroup": "No. 123"}